# 1
! PBE ReWAu2, relaxed; values from VASP
! **Total moment**: 0.0 μB per cell
! **E_tot**: -7.6694 eV/atom
! **Symmetry**: P4mm
! **ΔE to the lowest computed polymorph**: 0.08 eV per formula unit
! **Formation enthalpy at 0 K**: 0.3196 eV per atom
&SYSTEM
  ibrav = 0, nat = 4, ntyp = 3
/
ATOMIC_SPECIES
Re 186.21 Re.upf
W 183.84 W.upf
Au 196.97 Au.upf
ATOMIC_POSITIONS crystal
Re 0.000 0.000 0.000
W 0.500 0.500 0.219
Au 0.000 0.000 0.473
Au 0.500 0.500 0.748
CELL_PARAMETERS angstrom
2.833 0.000 0.000
0.000 2.833 0.000
0.000 0.000 8.355

---

# 2
! PBE CaScGa2Pd5, relaxed; values from VASP
! **Total moment**: 0.0 μB per cell
! **E_tot**: -5.1031 eV/atom
! **Symmetry**: P4/mmm
! **Formation enthalpy at 0 K**: -0.6196 eV per atom
&SYSTEM
  ibrav = 0, nat = 9, ntyp = 4
/
ATOMIC_SPECIES
Ca 40.08 Ca.upf
Sc 44.96 Sc.upf
Ga 69.72 Ga.upf
Pd 106.42 Pd.upf
ATOMIC_POSITIONS crystal
Ca 0.000 0.000 0.000
Sc 0.000 0.000 0.500
Ga 0.500 0.500 0.369
Ga 0.500 0.500 0.631
Pd 0.000 0.500 0.230
Pd 0.000 0.500 0.770
Pd 0.500 0.000 0.230
Pd 0.500 0.000 0.770
Pd 0.500 0.500 0.000
CELL_PARAMETERS angstrom
4.176 0.000 0.000
0.000 4.176 0.000
0.000 0.000 9.169